The following is a DFT calculation (PBE) of an optimized crystal structure of Gd2Nb2S7O30.

Output
* volume: 14.66 A^3/atom
* raw formation energy: -1.748 eV per atom
* DFT total energy: -0.5335 Ry per atom

a b c (Å): 12.960 12.960 7.158
angles (deg): 90.00 90.00 90.00
Last column: magnetic moment on the atom in μB.
Sites, in units of the cell vectors:
O 0.732 0.394 0.879  0.02
O 0.712 0.541 0.671  0.07
O 0.008 0.358 0.135  0.00
O 0.433 0.576 0.730  0.23
O 0.106 0.768 0.879  0.02
O 0.867 0.211 0.545  0.13
O 0.576 0.567 0.270  0.23
O 0.155 0.345 0.925  0.00
O 0.799 0.299 0.208  0.01
O 0.924 0.067 0.730  0.23
O 0.655 0.155 0.075  0.00
O 0.789 0.867 0.455  0.13
O 0.606 0.732 0.121  0.02
O 0.566 0.934 0.221  0.03
O 0.424 0.433 0.270  0.23
O 0.176 0.324 0.262  0.00
O 0.067 0.433 0.543  0.03
O 0.933 0.924 0.270  0.23
O 0.933 0.567 0.543  0.03
O 0.066 0.566 0.779  0.03
O 0.299 0.201 0.792  0.01
O 0.459 0.712 0.329  0.07
O 0.212 0.959 0.329  0.07
O 0.076 0.933 0.730  0.23
O 0.992 0.642 0.135  0.00
O 0.845 0.655 0.925  0.00
O 0.642 0.008 0.865  0.00
O 0.676 0.176 0.738  0.00
O 0.211 0.133 0.455  0.13
O 0.567 0.067 0.457  0.03
O 0.133 0.789 0.545  0.13
O 0.959 0.788 0.671  0.07
O 0.367 0.289 0.455  0.13
O 0.508 0.142 0.865  0.00
O 0.433 0.933 0.457  0.03
O 0.492 0.858 0.865  0.00
O 0.788 0.041 0.329  0.07
O 0.894 0.232 0.879  0.02
O 0.434 0.066 0.221  0.03
O 0.358 0.992 0.865  0.00
O 0.067 0.076 0.270  0.23
O 0.041 0.212 0.671  0.07
O 0.633 0.711 0.455  0.13
O 0.142 0.492 0.135  0.00
O 0.858 0.508 0.135  0.00
O 0.541 0.288 0.329  0.07
O 0.289 0.633 0.545  0.13
O 0.934 0.434 0.779  0.03
O 0.701 0.799 0.792  0.01
O 0.394 0.268 0.121  0.02
O 0.567 0.424 0.730  0.23
O 0.268 0.606 0.879  0.02
O 0.345 0.845 0.075  0.00
O 0.201 0.701 0.208  0.01
O 0.711 0.367 0.545  0.13
O 0.824 0.676 0.262  0.00
O 0.768 0.894 0.121  0.02
O 0.232 0.106 0.121  0.02
O 0.324 0.824 0.738  0.00
O 0.288 0.459 0.671  0.07
S 0.000 0.500 0.658  0.00
S 0.178 0.066 0.299  -0.01
S 0.934 0.178 0.701  -0.01
S 0.377 0.877 0.890  0.00
S 0.877 0.623 0.110  0.00
S 0.822 0.934 0.299  -0.01
S 0.566 0.678 0.299  -0.01
S 0.123 0.377 0.110  0.00
S 0.066 0.822 0.701  -0.01
S 0.500 0.000 0.342  0.00
S 0.678 0.434 0.701  -0.01
S 0.623 0.123 0.890  0.00
S 0.434 0.322 0.299  -0.01
S 0.322 0.566 0.701  -0.01
Gd 0.197 0.303 0.596  6.93
Gd 0.803 0.697 0.596  6.93
Gd 0.303 0.803 0.404  6.93
Gd 0.697 0.197 0.404  6.93
Nb 0.362 0.138 0.979  -0.01
Nb 0.138 0.638 0.021  -0.01
Nb 0.638 0.862 0.979  -0.01
Nb 0.862 0.362 0.021  -0.01


The following is a DFT calculation (PBE) of an optimized crystal structure of Cr2ReRuN.

Output
* volume: 11.89 A^3/atom
* relative energy among the computed polymorphs: 0.000 eV per atom
* raw formation energy: -0.047 eV per atom
* DFT total energy: -0.7281 Ry per atom

a b c (Å): 3.862 3.862 3.986
angles (deg): 90.00 90.00 90.00
Last column: magnetic moment on the atom in μB.
Sites, in units of the cell vectors:
N 0.000 0.000 0.000  -0.01
Re 0.000 0.000 0.500  -0.15
Ru 0.500 0.500 0.500  -0.07
Cr 0.000 0.500 0.000  0.72
Cr 0.500 0.000 0.000  0.72


The following is a DFT calculation (PBE) of an optimized crystal structure of Tb5TlIn3.

Output
* formation energy: -0.416 eV per atom
* volume: 28.20 A^3/atom
* DFT total energy: -0.3060 Ry per atom

a b c (Å): 6.681 9.367 9.367
angles (deg): 120.00 90.00 90.00
Sites, in units of the cell vectors:
Tb 0.500 0.667 0.333
Tb 0.750 0.708 0.708
Tb 0.750 0.000 0.292
Tb 0.000 0.333 0.667
Tb 0.250 0.292 0.292
Tb 0.250 0.000 0.708
Tb 0.500 0.333 0.667
Tb 0.750 0.292 0.000
Tb 0.000 0.667 0.333
Tb 0.250 0.708 0.000
In 0.750 0.000 0.629
In 0.750 0.371 0.371
In 0.250 0.371 0.000
In 0.250 0.629 0.629
In 0.250 0.000 0.371
In 0.750 0.629 0.000
Tl 0.000 0.000 0.000
Tl 0.500 0.000 0.000


The following is a DFT calculation (PBE) of an optimized crystal structure of NdTl2O4.

Output
* volume: 17.71 A^3/atom
* raw formation energy: -1.578 eV per atom
* DFT total energy: -0.4240 Ry per atom

a b c (Å): 3.836 3.836 9.976
angles (deg): 78.91 78.91 60.00
Sites, in units of the cell vectors:
O 0.298 0.298 0.106
O 0.126 0.126 0.621
O 0.702 0.702 0.894
O 0.874 0.874 0.379
Tl 0.219 0.219 0.343
Tl 0.781 0.781 0.657
Nd 0.000 0.000 0.000


The following is a DFT calculation (PBE) of an optimized crystal structure of NdSmYTm2.

Output
* formation energy: 0.376 eV per atom
* volume: 34.59 A^3/atom
* DFT total energy: -0.3383 Ry per atom

a b c (Å): 7.186 8.364 7.114
angles (deg): 126.00 90.00 90.00
Sites, in units of the cell vectors:
Sm 0.250 0.989 0.979
Sm 0.750 0.011 0.021
Nd 0.250 0.722 0.443
Nd 0.750 0.278 0.557
Tm 0.500 0.313 0.000
Tm 0.500 0.687 0.000
Tm 0.000 0.687 0.000
Tm 0.000 0.313 0.000
Y 0.250 0.273 0.546
Y 0.750 0.727 0.454


The following is a DFT calculation (PBE) of an optimized crystal structure of NbBiBrO4.

Output
* volume: 20.81 A^3/atom
* raw formation energy: -1.646 eV per atom
* DFT total energy: -0.4932 Ry per atom

a b c (Å): 6.953 6.953 7.196
angles (deg): 77.67 77.67 59.75
Sites, in units of the cell vectors:
Nb 0.369 0.369 0.269
Nb 0.631 0.631 0.731
O 0.889 0.471 0.859
O 0.471 0.889 0.859
O 0.703 0.703 0.469
O 0.472 0.472 0.771
O 0.111 0.529 0.141
O 0.529 0.111 0.141
O 0.297 0.297 0.531
O 0.528 0.528 0.229
Bi 0.718 0.718 0.160
Bi 0.282 0.282 0.840
Br 0.017 0.017 0.335
Br 0.983 0.983 0.665


The following is a DFT calculation (PBE) of an optimized crystal structure of AcSm2Ga.

Output
* formation energy: -0.042 eV per atom
* volume: 34.96 A^3/atom
* relative energy among the computed polymorphs: 0.201 eV per atom
* DFT total energy: -0.3076 Ry per atom

a b c (Å): 4.510 4.510 8.356
angles (deg): 74.34 74.34 60.00
Sites, in units of the cell vectors:
Sm 0.276 0.276 0.173
Sm 0.058 0.058 0.827
Ga 0.667 0.667 0.998
Ac 0.499 0.499 0.503


The following is a DFT calculation (PBE) of an optimized crystal structure of MnRe2Rh.

Output
* formation energy: 0.016 eV per atom
* volume: 14.09 A^3/atom
* relative energy among the computed polymorphs: 0.041 eV per atom
* DFT total energy: -0.7599 Ry per atom

a b c (Å): 2.703 3.833 5.441
angles (deg): 90.00 90.00 90.00
Last column: magnetic moment on the atom in μB.
Sites, in units of the cell vectors:
Re 0.000 0.000 0.992  -0.27
Re 0.500 0.500 0.250  -0.05
Rh 0.000 0.000 0.508  0.02
Mn 0.500 0.500 0.750  2.23


The following is a DFT calculation (PBE) of an optimized crystal structure of NdEr3Tm2Sb6.

Output
* volume: 29.64 A^3/atom
* raw formation energy: -1.095 eV per atom
* DFT total energy: -0.3998 Ry per atom

a b c (Å): 4.378 8.753 9.784
angles (deg): 102.89 102.93 90.00
Sites, in units of the cell vectors:
Tm 0.168 0.334 0.335
Tm 0.832 0.666 0.665
Er 0.165 0.832 0.330
Er 0.835 0.168 0.670
Er 0.500 0.500 0.000
Sb 0.667 0.582 0.334
Sb 0.330 0.915 0.660
Sb 0.999 0.742 0.998
Sb 0.333 0.418 0.666
Sb 0.670 0.085 0.340
Sb 0.001 0.258 0.002
Nd 0.500 0.000 0.000


The following is a DFT calculation (PBE) of an optimized crystal structure of Pr5In2Co.

Output
* formation energy: -0.111 eV per atom
* volume: 29.91 A^3/atom
* DFT total energy: -0.3433 Ry per atom

a b c (Å): 7.217 7.217 6.866
angles (deg): 121.68 121.68 90.04
Sites, in units of the cell vectors:
Pr 0.737 0.737 0.971
Pr 0.739 0.235 0.973
Pr 0.748 0.748 0.496
Pr 0.235 0.739 0.973
Pr 0.234 0.234 0.971
In 0.233 0.733 0.465
In 0.733 0.233 0.465
Co 0.119 0.119 0.238


The following is a DFT calculation (PBE) of an optimized crystal structure of SrPa2RuN4.

Output
* volume: 15.52 A^3/atom
* raw formation energy: -1.142 eV per atom
* DFT total energy: -0.6650 Ry per atom

a b c (Å): 3.469 6.248 11.927
angles (deg): 90.00 90.00 106.12
Sites, in units of the cell vectors:
Pa 0.367 0.735 0.558
Pa 0.367 0.735 0.942
Pa 0.633 0.265 0.442
Pa 0.633 0.265 0.058
Sr 0.903 0.807 0.250
Sr 0.097 0.193 0.750
Ru 0.832 0.665 0.750
Ru 0.168 0.335 0.250
N 0.000 0.000 0.000
N 0.737 0.475 0.599
N 0.263 0.525 0.099
N 0.263 0.525 0.401
N 0.438 0.875 0.750
N 0.000 0.000 0.500
N 0.562 0.125 0.250
N 0.737 0.475 0.901


The following is a DFT calculation (PBE) of an optimized crystal structure of MnCu.

Output
* formation energy: 0.236 eV per atom
* volume: 13.10 A^3/atom
* DFT total energy: -0.4701 Ry per atom

a b c (Å): 11.190 3.736 3.760
angles (deg): 90.00 90.00 90.00
Last column: magnetic moment on the atom in μB.
Sites, in units of the cell vectors:
Cu 0.331 0.000 0.500  0.15
Cu 0.000 0.500 0.000  0.13
Cu 0.831 0.500 0.500  0.15
Cu 0.500 0.000 0.000  0.13
Cu 0.169 0.500 0.500  0.15
Cu 0.669 0.000 0.500  0.15
Mn 0.000 0.000 0.500  3.44
Mn 0.165 0.000 0.000  3.44
Mn 0.335 0.500 0.000  3.44
Mn 0.835 0.000 0.000  3.44
Mn 0.665 0.500 0.000  3.44
Mn 0.500 0.500 0.500  3.44


The following is a DFT calculation (PBE) of an optimized crystal structure of NdAg3F6.

Output
* volume: 17.47 A^3/atom
* raw formation energy: -2.152 eV per atom
* DFT total energy: -0.3386 Ry per atom

a b c (Å): 6.170 6.236 9.089
angles (deg): 90.00 88.00 90.00
Sites, in units of the cell vectors:
Ag 0.520 0.944 0.765
Ag 0.480 0.056 0.235
Ag 0.980 0.444 0.735
Ag 0.500 0.500 0.000
Ag 0.020 0.556 0.265
Ag 0.000 0.000 0.500
F 0.861 0.900 0.229
F 0.139 0.100 0.771
F 0.667 0.205 0.597
F 0.333 0.795 0.403
F 0.833 0.705 0.903
F 0.314 0.822 0.053
F 0.167 0.295 0.097
F 0.361 0.600 0.729
F 0.686 0.178 0.947
F 0.639 0.400 0.271
F 0.186 0.322 0.447
F 0.814 0.678 0.553
Nd 0.500 0.500 0.500
Nd 0.000 0.000 0.000


The following is a DFT calculation (PBE) of an optimized crystal structure of LiGaSe2.

Output
* volume: 28.41 A^3/atom
* raw formation energy: -0.812 eV per atom
* DFT total energy: -0.2785 Ry per atom

a b c (Å): 7.511 3.833 15.786
angles (deg): 90.00 90.00 90.00
Sites, in units of the cell vectors:
Li 0.749 0.250 0.245
Li 0.249 0.250 0.255
Li 0.751 0.750 0.745
Li 0.251 0.750 0.755
Se 0.785 0.250 0.483
Se 0.998 0.750 0.273
Se 0.498 0.750 0.227
Se 0.215 0.750 0.517
Se 0.285 0.250 0.017
Se 0.502 0.250 0.773
Se 0.002 0.250 0.727
Se 0.715 0.750 0.983
Ga 0.950 0.750 0.418
Ga 0.550 0.250 0.918
Ga 0.450 0.750 0.082
Ga 0.050 0.250 0.582


The following is a DFT calculation (PBE) of an optimized crystal structure of MnV2Ir3.

Output
* formation energy: 0.082 eV per atom
* volume: 16.36 A^3/atom
* relative energy among the computed polymorphs: 0.535 eV per atom
* DFT total energy: -0.6553 Ry per atom

a b c (Å): 7.207 5.455 6.736
angles (deg): 113.89 122.34 90.00
Last column: magnetic moment on the atom in μB.
Sites, in units of the cell vectors:
V 0.855 0.140 0.280  -0.53
V 0.145 0.860 0.720  -0.53
V 0.575 0.360 0.720  -0.53
V 0.425 0.640 0.280  -0.53
Mn 0.000 0.500 0.000  2.61
Mn 0.000 0.000 0.000  2.61
Ir 0.500 0.250 0.000  0.07
Ir 0.500 0.750 0.000  0.07
Ir 0.220 0.470 0.440  0.04
Ir 0.780 0.530 0.560  0.04
Ir 0.220 0.970 0.440  0.04
Ir 0.780 0.030 0.560  0.04


The following is a DFT calculation (PBE) of an optimized crystal structure of Li7AlCd3.

Output
* formation energy: -0.125 eV per atom
* volume: 19.03 A^3/atom
* DFT total energy: -0.1420 Ry per atom

a b c (Å): 2.878 11.716 12.513
angles (deg): 90.00 90.00 97.06
Sites, in units of the cell vectors:
Li 0.548 0.097 0.073
Li 0.572 0.144 0.860
Li 0.745 0.489 0.880
Li 0.548 0.097 0.427
Li 0.255 0.511 0.380
Li 0.634 0.267 0.250
Li 0.428 0.856 0.360
Li 0.428 0.856 0.140
Li 0.572 0.144 0.640
Li 0.452 0.903 0.573
Li 0.366 0.733 0.750
Li 0.255 0.511 0.120
Li 0.745 0.489 0.620
Li 0.452 0.903 0.927
Al 0.016 0.033 0.250
Al 0.984 0.967 0.750
Cd 0.849 0.698 0.513
Cd 0.151 0.302 0.487
Cd 0.838 0.675 0.250
Cd 0.151 0.302 0.013
Cd 0.162 0.325 0.750
Cd 0.849 0.698 0.987


The following is a DFT calculation (PBE) of an optimized crystal structure of ErMgAgF6.

Output
* volume: 15.03 A^3/atom
* raw formation energy: -3.210 eV per atom
* DFT total energy: -0.4012 Ry per atom

a b c (Å): 5.168 5.168 10.129
angles (deg): 90.00 90.00 90.00
Sites, in units of the cell vectors:
F 0.795 0.205 0.197
F 0.726 0.726 0.310
F 0.328 0.328 0.992
F 0.705 0.705 0.697
F 0.274 0.274 0.310
F 0.295 0.295 0.697
F 0.172 0.828 0.492
F 0.226 0.774 0.810
F 0.205 0.795 0.197
F 0.828 0.172 0.492
F 0.672 0.672 0.992
F 0.774 0.226 0.810
Ag 0.500 0.500 0.499
Ag 0.000 0.000 0.999
Mg 0.000 0.000 0.331
Mg 0.500 0.500 0.831
Er 0.000 0.000 0.671
Er 0.500 0.500 0.171